VASP calculation (GGA-PBE) on CoTeSe2 after structural relaxation.

```
CoTeSe2
1.0
3.436 0.000 0.000
0.000 5.100 0.008
0.000 2.369 4.510
Co Se Te
1 2 1
direct
0.500 0.750 0.750
0.000 0.936 0.937
0.000 0.564 0.563
0.500 0.250 0.250
```

Output
Volume, Å³ per cell: 79.0
E_tot, eV per atom: -4.374
ΔE_f (raw), kJ/mol of formula units: -27

VASP calculation (GGA-PBE) on CoTeSe2 after structural relaxation.

```
CoTeSe2
1.0
3.384 0.000 0.000
0.000 4.881 0.000
0.000 0.000 4.881
Se Co Te
2 1 1
direct
0.000 0.000 0.000
0.000 0.500 0.500
0.500 0.000 0.500
0.500 0.500 0.000
```

Output
Volume, Å³ per cell: 80.6
E_tot, eV per atom: -3.692
ΔE_f (raw), kJ/mol of formula units: 236